The following is a PBE calculation of a relaxed structure of Ti2HOs, from the Alexandria database.

The space group is R-3m (No. 166, hexagonal axes) and the conventional cell measures 2.9296, 2.9296 and 19.6343 Å, with angles of 90.00, 90.00 and 120.00 degrees. Symmetry generates all atoms from Ti at (0.0000, 0.0000, 0.2283), H at (0.0000, 0.0000, 0.5000) and Os at (0.0000, 0.0000, 0.0000).

Its density of states at the Fermi level is 4.42 states/eV/f.u. The value obtained for the energy above the most stable polymorph in this dataset is 0.000 eV/atom. The calculation puts the total energy at -7.82 eV per atom.


The following is a PBE calculation of a relaxed structure of Ti2HOs, from the Alexandria database.

The space group is P4/mmm (No. 123) and the conventional cell measures 2.918, 2.918 and 6.017 Å, with angles of 90.00, 90.00 and 90.00 degrees. Symmetry generates all atoms from Ti at (0.000, 0.000, 0.226), H at (0.500, 0.500, 0.000) and Os at (0.500, 0.500, 0.500).

Its density of states at the Fermi level is 4.05 states/eV/f.u. The value obtained for the energy above the most stable polymorph in this dataset is 0.157 eV/atom. The calculation puts the total energy at -7.66 eV per atom.


The following is a PBE calculation of a relaxed structure of Ti2H2Os, from the Alexandria database.

The space group is P4/mmm (No. 123) and the conventional cell measures 2.991, 2.991 and 6.002 Å, with angles of 90.00, 90.00 and 90.00 degrees. Symmetry generates all atoms from Ti at (0.000, 0.000, 0.235), H at (0.000, 0.500, 0.000) and Os at (0.500, 0.500, 0.500).

Its density of states at the Fermi level is 1.24 states/eV/f.u. The value obtained for the energy above the most stable polymorph in this dataset is 0.157 eV/atom. The calculation puts the total energy at -7.14 eV per atom.


The following is a PBE calculation of a relaxed structure of Ti2HOs, from the Alexandria database.

The space group is I-42d (No. 122) and the conventional cell measures 5.760, 5.760 and 6.230 Å, with angles of 90.00, 90.00 and 90.00 degrees. Symmetry generates all atoms from Ti at (0.166, 0.750, 0.125), H at (0.000, 0.000, 0.000) and Os at (0.000, 0.000, 0.500).

Its density of states at the Fermi level is 2.50 states/eV/f.u. The value obtained for the energy above the most stable polymorph in this dataset is 0.078 eV/atom. The calculation puts the total energy at -7.74 eV per atom.


The following is a PBE calculation of a relaxed structure of TiH2Os, from the Alexandria database.

The space group is I-42d (No. 122) and the conventional cell measures 4.103, 4.103 and 8.662 Å, with angles of 90.00, 90.00 and 90.00 degrees. Symmetry generates all atoms from Ti at (0.000, 0.000, 0.000), H at (0.233, 0.250, 0.625) and Os at (0.000, 0.000, 0.500).

Its density of states at the Fermi level is 0.06 states/eV/f.u. The calculation puts the total energy at -6.59 eV per atom.


The following is a PBE calculation of a relaxed structure of TiHOs, from the Alexandria database.

The space group is Pmn2_1 (No. 31) and the conventional cell measures 2.945, 4.840 and 4.778 Å, with angles of 90.00, 90.00 and 90.00 degrees. Symmetry generates all atoms from Ti at (0.000, 0.140, 0.000), H at (0.000, 0.082, 0.388) and Os at (0.000, 0.434, 0.502).

Its density of states at the Fermi level is 1.85 states/eV/f.u. The calculation puts the total energy at -7.65 eV per atom.


The following is a PBE calculation of a relaxed structure of TiV2HOs, from the Alexandria database.

The space group is P4/mmm (No. 123) and the conventional cell measures 3.673, 3.673 and 4.411 Å, with angles of 90.00, 90.00 and 90.00 degrees. Symmetry generates all atoms from Ti at (0.000, 0.000, 0.000), V at (0.000, 0.500, 0.500), H at (0.000, 0.000, 0.500) and Os at (0.500, 0.500, 0.000).

Its density of states at the Fermi level is 3.74 states/eV/f.u. The calculation puts the total energy at -8.33 eV per atom.


The following is a PBE calculation of a relaxed structure of Ti2ZnHOs, from the Alexandria database.

The space group is P4/mmm (No. 123) and the conventional cell measures 4.131, 4.131 and 3.692 Å, with angles of 90.00, 90.00 and 90.00 degrees. Symmetry generates all atoms from Ti at (0.000, 0.500, 0.000), Zn at (0.000, 0.000, 0.500), H at (0.500, 0.500, 0.000) and Os at (0.500, 0.500, 0.500).

Its density of states at the Fermi level is 3.05 states/eV/f.u. The calculation puts the total energy at -6.61 eV per atom.


no.,density (g/cm3),V (Å³/cell)
1,9.80,145.9
2,9.30,51.2
3,8.91,53.7
4,9.22,206.7
5,10.94,145.8
6,11.66,68.1
7,9.52,59.5
8,9.29,63.0